{
  "formula": "Ta2H4Pb",
  "functional": "PBE",
  "state": "relaxed",
  "lattice": [[3.654, 0.000, 0.000], [0.000, 3.654, 0.000], [0.000, 0.000, 14.954]],
  "species": ["Ta", "Ta", "Ta", "Ta", "H", "H", "H", "H", "H", "H", "H", "H", "Pb", "Pb"],
  "fractional_positions": [[0.000, 0.000, 0.212], [0.000, 0.000, 0.788], [0.500, 0.500, 0.288], [0.500, 0.500, 0.712], [0.000, 0.000, 0.336], [0.000, 0.000, 0.664], [0.000, 0.500, 0.000], [0.000, 0.500, 0.500], [0.500, 0.000, 0.000], [0.500, 0.000, 0.500], [0.500, 0.500, 0.164], [0.500, 0.500, 0.836], [0.000, 0.000, 0.500], [0.500, 0.500, 0.000]],
  "sg": "I4/mmm, No. 139",
  "e_tot_ev_per_cell": -70.056
}